A plane-wave DFT calculation with PBE+U was carried out for a geometry-optimized AcCrRhO6 structure.

Geometry as POSCAR:
```
AcCrRhO6
1.0
-3.9618 2.7797 1.9504
-3.2535 -2.1655 3.4569
3.1249 1.6605 3.9813
Rh Cr O Ac
1 1 6 1
direct
0.3333 0.3333 0.5000 Rh
0.6666 0.6667 0.5000 Cr
0.3791 0.9980 0.7047 O
0.3791 0.6229 0.2953 O
0.9980 0.6228 0.7047 O
0.6228 0.9980 0.2953 O
0.9980 0.3792 0.2953 O
0.6228 0.3791 0.7047 O
0.0000 0.0000 0.0000 Ac
```

Computed properties:
The volume comes out at 13.96 A^3/atom. The calculation puts the spin magnetization at 0.034 μB/f.u. Its energy is -7.17 eV/atom.